Record 1
The following is a DFT calculation (GGA-PBE) of a relaxed structure of SnSbAu14.

Lattice parameters (Å, degrees): 5.9329 5.9329 9.5575 90.00 90.00 115.84
With the nearest neighbours (Å) after each atom.
Sites, in units of the cell vectors:
Sn1 0.6684 0.3316 0.0000  10 Au 2.95-3.03, 2 Sb 3.15
Sb1 0.1608 0.8392 0.0000  10 Au 2.94-3.01, 2 Sn 3.15
Au1 0.6591 0.3409 0.5000  12 Au 2.89-3.15
Au2 0.1604 0.8396 0.5000  12 Au 2.91-3.15
Au3 0.1728 0.3396 0.0000  2 Sb 2.94-3.00, 2 Sn 2.96-2.97, 8 Au 2.98-3.23
Au4 0.1542 0.3406 0.5000  12 Au 2.92-3.18
Au5 0.6604 0.8272 0.0000  2 Sb 2.94-3.00, 2 Sn 2.96-2.97, 8 Au 2.98-3.23
Au6 0.6594 0.8458 0.5000  12 Au 2.92-3.18
Au7 0.3382 0.1639 0.7430  10 Au 2.89-3.16, 1 Sb 3.01, 1 Sn 3.03
Au8 0.3382 0.1639 0.2570  10 Au 2.89-3.16, 1 Sb 3.01, 1 Sn 3.03
Au9 0.8361 0.6618 0.7430  10 Au 2.89-3.16, 1 Sb 3.01, 1 Sn 3.03
Au10 0.8361 0.6618 0.2570  10 Au 2.89-3.16, 1 Sb 3.01, 1 Sn 3.03
Au11 0.8394 0.1606 0.7497  11 Au 2.93-3.15, 1 Sn 2.95
Au12 0.8394 0.1606 0.2503  11 Au 2.93-3.15, 1 Sn 2.95
Au13 0.3386 0.6614 0.7463  11 Au 2.92-3.15, 1 Sb 3.01
Au14 0.3386 0.6614 0.2537  11 Au 2.92-3.15, 1 Sb 3.01

## Properties
The calculation puts the spin magnetization at 0.00 μB per formula unit. The calculation puts the mass density at 16.44 g/cm3. As for the symmetry: No. 38. The raw formation energy is 0.027 eV per atom. The electronic total energy is -53.58 eV/f.u.



Record 2
The following is a DFT calculation (GGA-PBE) of a relaxed structure of AgRu2Pb.

Lattice parameters (Å, degrees): 4.6368 2.9585 5.1930 87.63 90.00 90.00
With the nearest neighbours (Å) after each atom.
Sites, in units of the cell vectors:
Ag1 0.5000 0.2500 0.2500  4 Ru 2.73, 4 Pb 2.93-3.04, 2 Ag 2.96
Pb1 0.5000 0.7500 0.7500  4 Ru 2.83, 4 Ag 2.93-3.04, 2 Pb 2.96
Ru1 0.0000 0.9694 0.0309  2 Ru 2.57-2.87, 2 Ag 2.73, 2 Pb 2.83
Ru2 0.0000 0.5306 0.4691  2 Ru 2.57-2.87, 2 Ag 2.73, 2 Pb 2.83

## Properties
The calculation puts the spin magnetization at 0.00 μB per formula unit. The calculation puts the mass density at 12.07 g/cm3. As for the symmetry: No. 10. The value obtained for the formation energy from the elements is 0.683 eV per atom. The electronic total energy is -22.38 eV/f.u.



Record 3
The following is a DFT calculation (GGA-PBE) of a relaxed structure of La5Sb2Ir.

Lattice parameters (Å, degrees): 8.3796 9.2506 12.9337 90.00 90.00 90.00
With the nearest neighbours (Å) after each atom.
Sites, in units of the cell vectors:
La1 0.0480 0.2500 0.5034  1 Ir 3.19, 4 Sb 3.30
La2 0.9520 0.7500 0.4966  1 Ir 3.19, 4 Sb 3.30
La3 0.5480 0.7500 0.9966  1 Ir 3.19, 4 Sb 3.30
La4 0.4520 0.2500 0.0034  1 Ir 3.19, 4 Sb 3.30
La5 0.3142 0.9600 0.5650  2 Ir 2.93-3.07
La6 0.6858 0.0400 0.4350  2 Ir 2.93-3.07
La7 0.8142 0.0400 0.9350  2 Ir 2.93-3.07
La8 0.6858 0.4600 0.4350  2 Ir 2.93-3.07
La9 0.1858 0.9600 0.0650  2 Ir 2.93-3.07
La10 0.3142 0.5400 0.5650  2 Ir 2.93-3.07
La11 0.1858 0.5400 0.0650  2 Ir 2.93-3.07
La12 0.8142 0.4600 0.9350  2 Ir 2.93-3.07
La13 0.1535 0.2500 0.7944  1 Ir 2.90
La14 0.8465 0.7500 0.2056  1 Ir 2.90
La15 0.6535 0.7500 0.7056  1 Ir 2.90
La16 0.3465 0.2500 0.2944  1 Ir 2.90
La17 0.6258 0.2500 0.6984  1 Ir 2.92
La18 0.3742 0.7500 0.3016  1 Ir 2.92
La19 0.1258 0.7500 0.8016  1 Ir 2.92
La20 0.8742 0.2500 0.1984  1 Ir 2.92
Sb1 0.4249 0.5072 0.8274  9 La 3.30-3.68
Sb2 0.5751 0.4928 0.1726  9 La 3.30-3.68
Sb3 0.9249 0.4928 0.6726  9 La 3.30-3.68
Sb4 0.5751 0.0072 0.1726  9 La 3.30-3.68
Sb5 0.0751 0.5072 0.3274  9 La 3.30-3.68
Sb6 0.4249 0.9928 0.8274  9 La 3.30-3.68
Sb7 0.0751 0.9928 0.3274  9 La 3.30-3.68
Sb8 0.9249 0.0072 0.6726  9 La 3.30-3.68
Ir1 0.4290 0.2500 0.5123  7 La 2.90-3.19
Ir2 0.5710 0.7500 0.4877  7 La 2.90-3.19
Ir3 0.9290 0.7500 0.9877  7 La 2.90-3.19
Ir4 0.0710 0.2500 0.0123  7 La 2.90-3.19

## Properties
The calculation puts the spin magnetization at 0.00 μB per formula unit. The calculation puts the mass density at 7.49 g/cm3. As for the energy above the most stable polymorph in this dataset: 0.0 meV per atom. As for the symmetry: No. 62. The raw formation energy is -0.949 eV per atom. The electronic total energy is -49.34 eV/f.u.



Copy entry 2 word for word.
The following is a DFT calculation (GGA-PBE) of a relaxed structure of AgRu2Pb.

Lattice parameters (Å, degrees): 4.6368 2.9585 5.1930 87.63 90.00 90.00
With the nearest neighbours (Å) after each atom.
Sites, in units of the cell vectors:
Ag1 0.5000 0.2500 0.2500  4 Ru 2.73, 4 Pb 2.93-3.04, 2 Ag 2.96
Pb1 0.5000 0.7500 0.7500  4 Ru 2.83, 4 Ag 2.93-3.04, 2 Pb 2.96
Ru1 0.0000 0.9694 0.0309  2 Ru 2.57-2.87, 2 Ag 2.73, 2 Pb 2.83
Ru2 0.0000 0.5306 0.4691  2 Ru 2.57-2.87, 2 Ag 2.73, 2 Pb 2.83

## Properties
The calculation puts the spin magnetization at 0.00 μB per formula unit. The calculation puts the mass density at 12.07 g/cm3. As for the symmetry: No. 10. The value obtained for the formation energy from the elements is 0.683 eV per atom. The electronic total energy is -22.38 eV/f.u.



Q: Which value of electronic total energy does entry 2 give?
A: -22.38 eV/f.u.



Q: Among the records above, which one has the highest mass density?
A: SnSbAu14



Q: The lowest mass density belongs to which entry?
A: La5Sb2Ir